(1)
The following is a DFT calculation (GGA-PBE) of TbPuSeS after structural relaxation.

The structure in CIF format:
```
data_TbPuSeS
_chemical_formula_sum 'Tb3 Pu3 Se3 S3'
_cell_length_a 4.0024
_cell_length_b 4.0024
_cell_length_c 20.0310
_cell_angle_alpha 90.00
_cell_angle_beta 90.00
_cell_angle_gamma 120.00
_space_group_name_H-M_alt 'R 3 m'
_space_group_IT_number 160
_space_group_name_Hall 'R 3 -2"'
loop_
_atom_site_label
_atom_site_type_symbol
_atom_site_fract_x
_atom_site_fract_y
_atom_site_fract_z
Tb1 Tb 0.0000 0.0000 0.0000
Pu1 Pu 0.0000 0.0000 0.5113
Se1 Se 0.0000 0.0000 0.7544
S1 S 0.0000 0.0000 0.2564
```

Calculated values
Its uncorrected formation energy is -1795 meV/atom. Its final energy is -8.4390 eV/atom. The value obtained for the size of the total moment is 17.35 μB per cell.


(2)
The following is a DFT calculation (GGA-PBE) of Mg2Tl2Co after structural relaxation.

The structure in CIF format:
```
data_Mg2Tl2Co
_chemical_formula_sum 'Mg4 Tl4 Co2'
_cell_length_a 7.0835
_cell_length_b 7.0835
_cell_length_c 4.3921
_cell_angle_alpha 90.00
_cell_angle_beta 90.00
_cell_angle_gamma 90.00
_space_group_name_H-M_alt 'P 4/m b m'
_space_group_IT_number 127
_space_group_name_Hall '-P 4 2ab'
loop_
_atom_site_label
_atom_site_type_symbol
_atom_site_fract_x
_atom_site_fract_y
_atom_site_fract_z
Mg1 Mg 0.1593 0.3407 0.0000
Tl1 Tl 0.1562 0.6562 0.5000
Co1 Co 0.0000 0.0000 0.5000
```

Calculated values
The value obtained for the energy above the lowest structure with this stoichiometry is 0 meV/atom. Its final energy is -2.6766 eV/atom. The value obtained for the size of the total moment is 2.08 μB per cell.


(3)
The following is a DFT calculation (GGA-PBE) of Ba3Li2NpO6 after structural relaxation.

The structure in CIF format:
```
data_Ba3Li2NpO6
_chemical_formula_sum 'Ba3 Li2 Np1 O6'
_cell_length_a 6.0515
_cell_length_b 6.0515
_cell_length_c 7.1737
_cell_angle_alpha 90.00
_cell_angle_beta 90.00
_cell_angle_gamma 120.00
_space_group_name_H-M_alt 'P -3 m 1'
_space_group_IT_number 164
_space_group_name_Hall '-P 3 2"'
loop_
_atom_site_label
_atom_site_type_symbol
_atom_site_fract_x
_atom_site_fract_y
_atom_site_fract_z
Ba1 Ba 0.0000 0.0000 0.0000
Ba2 Ba 0.3333 0.6667 0.6430
Li1 Li 0.3333 0.6667 0.2232
Np1 Np 0.0000 0.0000 0.5000
O1 O 0.1637 0.3273 0.3238
```

Calculated values
Its uncorrected formation energy is -2459 meV/atom. Its final energy is -6.8167 eV/atom. The value obtained for the size of the total moment is 1.88 μB per cell.


(4)
The following is a DFT calculation (GGA-PBE) of Pm4PrCd after structural relaxation.

The structure in CIF format:
```
data_Pm4PrCd
_chemical_formula_sum 'Pm4 Pr1 Cd1'
_cell_length_a 3.6840
_cell_length_b 3.6840
_cell_length_c 14.4324
_cell_angle_alpha 90.00
_cell_angle_beta 90.00
_cell_angle_gamma 90.00
_space_group_name_H-M_alt 'P 4/m m m'
_space_group_IT_number 123
_space_group_name_Hall '-P 4 2'
loop_
_atom_site_label
_atom_site_type_symbol
_atom_site_fract_x
_atom_site_fract_y
_atom_site_fract_z
Pm1 Pm 0.0000 0.0000 0.1440
Pm2 Pm 0.5000 0.5000 0.3196
Pr1 Pr 0.0000 0.0000 0.5000
Cd1 Cd 0.5000 0.5000 0.0000
```

Calculated values
The value obtained for the energy above the lowest structure with this stoichiometry is 0 meV/atom. Its final energy is -4.2127 eV/atom. The value obtained for the size of the total moment is 0.00 μB per cell.